A geometry-optimized HfBAs structure. Source: OQMD, functional GGA-PBE.

Lattice parameters (Å, degrees): 4.0864 4.0864 4.0864 60.00 60.00 60.00
With the nearest neighbours (Å) after each atom.
Element x y z (fractional)
As1 0.2500 0.2500 0.2500  4 B 2.50
B1 0.0000 0.0000 0.0000  4 Hf 2.50, 4 As 2.50
Hf1 0.7500 0.7500 0.7500  4 B 2.50

Properties
Total magnetic moment: 0.0 Bohr magnetons per cell


A geometry-optimized Hf3B4As structure. Source: OQMD, functional GGA-PBE.

Lattice parameters (Å, degrees): 3.1982 3.4655 8.7698 90.00 90.00 90.00
With the nearest neighbours (Å) after each atom.
Element x y z (fractional)
As1 0.0000 0.0000 0.0000  2 B 2.62, 8 Hf 2.88
B1 0.0000 0.0000 0.2986  2 B 1.79
B2 0.5000 0.0000 0.3913  3 B 1.79-1.91
B3 0.5000 0.0000 0.6087  3 B 1.79-1.91
B4 0.0000 0.0000 0.7014  2 B 1.79
Hf1 0.5000 0.5000 0.1880  6 B 2.49-2.55
Hf2 0.0000 0.5000 0.5000  12 B 2.47-2.54
Hf3 0.5000 0.5000 0.8120  6 B 2.49-2.55

Properties
Total magnetic moment: 0.0 Bohr magnetons per cell


A geometry-optimized HgB2As structure. Source: OQMD, functional GGA-PBE.

Lattice parameters (Å, degrees): 4.4369 4.4369 4.4369 60.00 60.00 60.00
With the nearest neighbours (Å) after each atom.
Element x y z (fractional)
As1 0.7500 0.7500 0.7500  4 Hg 2.72, 4 B 2.72
B1 0.0000 0.0000 0.0000  4 B 2.72, 4 As 2.72
B2 0.2500 0.2500 0.2500  4 Hg 2.72, 4 B 2.72
Hg1 0.5000 0.5000 0.5000  4 B 2.72, 4 As 2.72


A geometry-optimized HgBAs structure. Source: OQMD, functional GGA-PBE.

Lattice parameters (Å, degrees): 4.2123 4.2123 4.2123 60.00 60.00 60.00
With the nearest neighbours (Å) after each atom.
Element x y z (fractional)
As1 0.2500 0.2500 0.2500  4 B 2.58
B1 0.0000 0.0000 0.0000  4 As 2.58, 4 Hg 2.58
Hg1 0.7500 0.7500 0.7500  4 B 2.58


Calculated total energy, record by record: -6.73, -8.40, -2.69, -2.83 eV per atom